1.
DFT (PBE-GGA) results for an optimized crystal structure of MnGaRu2.

Geometry as POSCAR:
```
MnGaRu2
1.0
-3.3374 3.3374 2.6895
3.3374 -3.3374 2.6895
3.3374 3.3374 -2.6895
Mn Ga Ru
2 2 4
direct
0.0000 0.0000 0.0000
0.7500 0.2500 0.5000
0.2500 0.7500 0.5000
0.5000 0.5000 0.0000
0.1028 0.6250 0.9778
0.3750 0.3528 0.4778
0.6472 0.1250 0.0222
0.8750 0.8972 0.5222
```

Output
ΔH_f (0 K), eV per formula unit: 1.86

2.
DFT (PBE-GGA) results for an optimized crystal structure of MnGaRu.

Geometry as POSCAR:
```
MnGaRu
1.0
5.0735 0.0000 0.0000
0.0000 2.7752 0.0000
-1.2107 0.0000 6.0589
Mn Ga Ru
2 2 2
direct
0.0000 0.0000 0.0000
0.3327 0.5000 0.3169
0.1708 0.5000 0.6836
0.5115 0.0000 0.0163
0.6724 0.5000 0.6991
0.8557 0.0000 0.3778
```

Output
ΔH_f (0 K), eV per formula unit: 0.22

3.
DFT (PBE-GGA) results for an optimized crystal structure of MnGa2Ru.

Geometry as POSCAR:
```
MnGa2Ru
1.0
2.4783 -1.4318 0.0000
2.4783 1.4318 0.0000
-1.6447 0.0000 8.1049
Mn Ga Ru
1 2 1
direct
0.0000 0.0000 0.0000
0.5810 0.5810 0.7456
0.7489 0.7489 0.2496
0.1638 0.1638 0.4972
```

Output
ΔH_f (0 K), eV per formula unit: -0.37

4.
DFT (PBE-GGA) results for an optimized crystal structure of MnGaRu2.

Geometry as POSCAR:
```
MnGaRu2
1.0
4.2255 0.0000 0.0000
0.0000 4.2255 0.0000
0.0000 0.0000 3.0508
Mn Ga Ru
1 1 2
direct
0.0000 0.0000 0.0000
0.5000 0.5000 0.0000
0.0000 0.5000 0.5000
0.5000 0.0000 0.5000
```

Output
ΔH_f (0 K), eV per formula unit: -0.81

5.
DFT (PBE-GGA) results for an optimized crystal structure of Mn2GaRu2.

Geometry as POSCAR:
```
Mn2GaRu2
1.0
7.1617 0.0000 0.0000
0.0000 7.1617 0.0000
0.0000 0.0000 2.7268
Mn Ga Ru
4 2 4
direct
0.1625 0.3375 0.0000
0.3375 0.8375 0.0000
0.6625 0.1625 0.0000
0.8375 0.6625 0.0000
0.0000 0.0000 0.5000
0.5000 0.5000 0.5000
0.1324 0.6324 0.5000
0.3676 0.1324 0.5000
0.6324 0.8676 0.5000
0.8676 0.3676 0.5000
```

Output
ΔH_f (0 K), eV per formula unit: 0.92

6.
DFT (PBE-GGA) results for an optimized crystal structure of MnGaSb2Ru.

Geometry as POSCAR:
```
MnGaSb2Ru
1.0
4.8470 0.0000 0.0000
0.0000 4.8470 0.0000
0.0000 0.0000 4.5253
Mn Ga Sb Ru
1 1 2 1
direct
0.0000 0.0000 0.0000
0.0000 0.0000 0.5000
0.0000 0.5000 0.0000
0.5000 0.0000 0.0000
0.5000 0.5000 0.5000
```

Output
Formation energy without anion corrections, kJ/mol of atoms: 80

7.
DFT (PBE-GGA) results for an optimized crystal structure of Sc2MnGa2Ru5.

Geometry as POSCAR:
```
Sc2MnGa2Ru5
1.0
9.7342 0.0000 0.0000
0.0000 9.7342 0.0000
0.0000 0.0000 3.2986
Sc Mn Ga Ru
4 2 4 10
direct
0.1683 0.3317 0.0000
0.3317 0.8317 0.0000
0.6683 0.1683 0.0000
0.8317 0.6683 0.0000
0.0000 0.0000 0.0000
0.5000 0.5000 0.0000
0.1328 0.6328 0.0000
0.3672 0.1328 0.0000
0.6328 0.8672 0.0000
0.8672 0.3672 0.0000
0.0000 0.5000 0.5000
0.0608 0.8093 0.5000
0.1907 0.0608 0.5000
0.3093 0.5608 0.5000
0.4392 0.3093 0.5000
0.5000 0.0000 0.5000
0.5608 0.6907 0.5000
0.6907 0.4392 0.5000
0.8093 0.9392 0.5000
0.9392 0.1907 0.5000
```

Output
ΔH_f (0 K), eV per formula unit: -2.43

8.
DFT (PBE-GGA) results for an optimized crystal structure of Sc2Mn2GaRu5.

Geometry as POSCAR:
```
Sc2Mn2GaRu5
1.0
9.6426 0.0000 0.0000
0.0000 9.6426 0.0000
0.0000 0.0000 3.2967
Sc Mn Ga Ru
4 4 2 10
direct
0.1714 0.3286 0.0000
0.3286 0.8286 0.0000
0.6714 0.1714 0.0000
0.8286 0.6714 0.0000
0.1311 0.6311 0.0000
0.3689 0.1311 0.0000
0.6311 0.8689 0.0000
0.8689 0.3689 0.0000
0.0000 0.0000 0.0000
0.5000 0.5000 0.0000
0.0000 0.5000 0.5000
0.0657 0.7980 0.5000
0.2020 0.0657 0.5000
0.2980 0.5657 0.5000
0.4343 0.2980 0.5000
0.5000 0.0000 0.5000
0.5657 0.7020 0.5000
0.7020 0.4343 0.5000
0.7980 0.9343 0.5000
0.9343 0.2020 0.5000
```

Output
ΔH_f (0 K), eV per formula unit: -1.40

9.
DFT (PBE-GGA) results for an optimized crystal structure of Sc2MnGa5Ru2.

Geometry as POSCAR:
```
Sc2MnGa5Ru2
1.0
9.0947 0.0000 0.0000
0.0000 9.0947 0.0000
0.0000 0.0000 4.0476
Sc Mn Ga Ru
4 2 10 4
direct
0.1758 0.3242 0.0000
0.3242 0.8242 0.0000
0.6758 0.1758 0.0000
0.8242 0.6758 0.0000
0.0000 0.0000 0.0000
0.5000 0.5000 0.0000
0.0000 0.5000 0.5000
0.0653 0.7987 0.5000
0.2013 0.0653 0.5000
0.2987 0.5653 0.5000
0.4347 0.2987 0.5000
0.5000 0.0000 0.5000
0.5653 0.7013 0.5000
0.7013 0.4347 0.5000
0.7987 0.9347 0.5000
0.9347 0.2013 0.5000
0.1222 0.6222 0.0000
0.3778 0.1222 0.0000
0.6222 0.8778 0.0000
0.8778 0.3778 0.0000
```

Output
ΔH_f (0 K), eV per formula unit: -3.81

10.
DFT (PBE-GGA) results for an optimized crystal structure of Th2MnGa2Ru5.

Geometry as POSCAR:
```
Th2MnGa2Ru5
1.0
10.0854 0.0000 0.0000
0.0000 10.0854 0.0000
0.0000 0.0000 3.4455
Th Mn Ga Ru
4 2 4 10
direct
0.1742 0.3258 0.0000
0.3258 0.8258 0.0000
0.6742 0.1742 0.0000
0.8258 0.6742 0.0000
0.0000 0.0000 0.0000
0.5000 0.5000 0.0000
0.1249 0.6249 0.0000
0.3751 0.1249 0.0000
0.6249 0.8751 0.0000
0.8751 0.3751 0.0000
0.0000 0.5000 0.5000
0.0701 0.7994 0.5000
0.2006 0.0701 0.5000
0.2994 0.5701 0.5000
0.4299 0.2994 0.5000
0.5000 0.0000 0.5000
0.5701 0.7006 0.5000
0.7006 0.4299 0.5000
0.7994 0.9299 0.5000
0.9299 0.2006 0.5000
```

Output
ΔH_f (0 K), eV per formula unit: -2.44

11.
DFT (PBE-GGA) results for an optimized crystal structure of MnTl2GaRu.

Geometry as POSCAR:
```
MnTl2GaRu
1.0
5.3686 0.0000 0.0000
0.0000 5.3686 0.0000
0.0000 0.0000 4.8008
Mn Tl Ga Ru
1 2 1 1
direct
0.0000 0.0000 0.0000
0.0000 0.5000 0.5000
0.5000 0.0000 0.5000
0.5000 0.5000 0.0000
0.0000 0.0000 0.5000
```

Output
ΔH_f (0 K), eV per formula unit: 3.07

12.
DFT (PBE-GGA) results for an optimized crystal structure of Tm2Mn2GaRu5.

Geometry as POSCAR:
```
Tm2Mn2GaRu5
1.0
9.8622 0.0000 0.0000
0.0000 9.8622 0.0000
0.0000 0.0000 3.3049
Tm Mn Ga Ru
4 4 2 10
direct
0.1740 0.3260 0.0000
0.3260 0.8260 0.0000
0.6740 0.1740 0.0000
0.8260 0.6740 0.0000
0.1277 0.6277 0.0000
0.3723 0.1277 0.0000
0.6277 0.8723 0.0000
0.8723 0.3723 0.0000
0.0000 0.0000 0.0000
0.5000 0.5000 0.0000
0.0000 0.5000 0.5000
0.0641 0.7979 0.5000
0.2021 0.0641 0.5000
0.2979 0.5641 0.5000
0.4359 0.2979 0.5000
0.5000 0.0000 0.5000
0.5641 0.7021 0.5000
0.7021 0.4359 0.5000
0.7979 0.9359 0.5000
0.9359 0.2021 0.5000
```

Output
ΔH_f (0 K), eV per formula unit: -1.28